Entry 1:
## LiLuZrSn (PBE)

Data for a relaxed LiLuZrSn crystal.

Summary:
The value obtained for the density of states at the Fermi level is 16.417 states/eV per cell. The calculation puts the total DFT energy (no corrections) at -4.9928 eV per atom.

Cell and atoms, written as CIF:
```
data_LiLuZrSn
_cell_length_a 7.0614
_cell_length_b 7.0614
_cell_length_c 7.0614
_cell_angle_alpha 90.00
_cell_angle_beta 90.00
_cell_angle_gamma 90.00
_space_group_name_H-M_alt 'F -4 3 m'
_space_group_IT_number 216
_space_group_name_Hall 'F -4 2 3'
loop_
_atom_site_label
_atom_site_type_symbol
_atom_site_fract_x
_atom_site_fract_y
_atom_site_fract_z
Li1 Li 0.0000 0.0000 0.0000
Lu1 Lu 0.2500 0.2500 0.2500
Zr1 Zr 0.2500 0.2500 0.7500
Sn1 Sn 0.0000 0.0000 0.5000
```

=====

Entry 2:
## Mo2IrBr (PBE)

Data for a relaxed Mo2IrBr crystal.

Summary:
As for the formation energy without anion corrections: 586.0 meV per atom. Its relative energy among the computed polymorphs is 77 kJ/mol of formula units. The value obtained for the density of states at the Fermi level is 4.922 states/eV per cell.

Cell and atoms, written as CIF:
```
data_Mo2IrBr
_cell_length_a 2.9281
_cell_length_b 4.6297
_cell_length_c 9.4662
_cell_angle_alpha 90.00
_cell_angle_beta 90.00
_cell_angle_gamma 90.00
_space_group_name_H-M_alt 'I m m 2'
_space_group_IT_number 44
loop_
_space_group_symop_operation_xyz
'x,y,z'
'-x,-y,z'
'-x,y,z'
'x,-y,z'
'x+1/2,y+1/2,z+1/2'
'-x+1/2,-y+1/2,z+1/2'
'-x+1/2,y+1/2,z+1/2'
'x+1/2,-y+1/2,z+1/2'
loop_
_atom_site_label
_atom_site_type_symbol
_atom_site_fract_x
_atom_site_fract_y
_atom_site_fract_z
Mo1 Mo 0.0000 0.0000 0.0000
Mo2 Mo 0.0000 0.5000 0.2152
Ir1 Ir 0.0000 0.0000 0.4698
Br1 Br 0.0000 0.5000 0.7214
```

=====

Entry 3:
## Cs2BeHI6 (PBE)

Data for a relaxed Cs2BeHI6 crystal.

Summary:
The value obtained for the density of states at the Fermi level is 11.647 states/eV per cell. The calculation puts the total DFT energy (no corrections) at -2.2751 eV per atom.

Cell and atoms, written as CIF:
```
data_Cs2BeHI6
_cell_length_a 8.0854
_cell_length_b 8.0854
_cell_length_c 12.0230
_cell_angle_alpha 90.00
_cell_angle_beta 90.00
_cell_angle_gamma 90.00
_space_group_name_H-M_alt 'I 4/m m m'
_space_group_IT_number 139
_space_group_name_Hall '-I 4 2'
loop_
_atom_site_label
_atom_site_type_symbol
_atom_site_fract_x
_atom_site_fract_y
_atom_site_fract_z
Cs1 Cs 0.0000 0.5000 0.2500
Be1 Be 0.0000 0.0000 0.0000
H1 H 0.0000 0.0000 0.5000
I1 I 0.0000 0.0000 0.1922
I2 I 0.2213 0.2213 0.5000
```

=====

Entry 4:
## Hf3AsN (PBE)

Data for a relaxed Hf3AsN crystal.

Summary:
As for the formation energy without anion corrections: -1227.6 meV per atom. Its relative energy among the computed polymorphs is 0 kJ/mol of formula units. The value obtained for the density of states at the Fermi level is 3.521 states/eV per cell.

Cell and atoms, written as CIF:
```
data_Hf3AsN
_cell_length_a 3.4352
_cell_length_b 11.1547
_cell_length_c 8.4567
_cell_angle_alpha 90.00
_cell_angle_beta 90.00
_cell_angle_gamma 90.00
_space_group_name_H-M_alt 'C m c m'
_space_group_IT_number 63
_space_group_name_Hall '-C 2c 2'
loop_
_atom_site_label
_atom_site_type_symbol
_atom_site_fract_x
_atom_site_fract_y
_atom_site_fract_z
Hf1 Hf 0.0000 0.0566 0.2500
Hf2 Hf 0.0000 0.3682 0.0554
As1 As 0.0000 0.2569 0.7500
N1 N 0.0000 0.0000 0.0000
```

=====

Entry 5:
## TiBiP3 (PBE)

Data for a relaxed TiBiP3 crystal.

Summary:
Its relative energy among the computed polymorphs is 0 kJ/mol of formula units. The value obtained for the density of states at the Fermi level is 4.347 states/eV per cell.

Cell and atoms, written as CIF:
```
data_TiBiP3
_cell_length_a 4.7607
_cell_length_b 4.7607
_cell_length_c 4.7607
_cell_angle_alpha 90.00
_cell_angle_beta 90.00
_cell_angle_gamma 90.00
_space_group_name_H-M_alt 'P m -3 m'
_space_group_IT_number 221
_space_group_name_Hall '-P 4 2 3'
loop_
_atom_site_label
_atom_site_type_symbol
_atom_site_fract_x
_atom_site_fract_y
_atom_site_fract_z
Ti1 Ti 0.0000 0.0000 0.0000
Bi1 Bi 0.5000 0.5000 0.5000
P1 P 0.0000 0.0000 0.5000
```

=====

Entry 6:
## ScNiAg2 (PBE)

Data for a relaxed ScNiAg2 crystal.

Summary:
The value obtained for the density of states at the Fermi level is 9.531 states/eV per cell. The calculation puts the total DFT energy (no corrections) at -4.3798 eV per atom.

Cell and atoms, written as CIF:
```
data_ScNiAg2
_cell_length_a 3.8258
_cell_length_b 3.8258
_cell_length_c 19.8180
_cell_angle_alpha 90.00
_cell_angle_beta 90.00
_cell_angle_gamma 90.00
_space_group_name_H-M_alt 'I -4 2 d'
_space_group_IT_number 122
_space_group_name_Hall 'I -4 2bw'
loop_
_atom_site_label
_atom_site_type_symbol
_atom_site_fract_x
_atom_site_fract_y
_atom_site_fract_z
Sc1 Sc 0.0000 0.0000 0.0000
Ni1 Ni 0.0000 0.0000 0.5000
Ag1 Ag 0.2387 0.2500 0.6250
```